This record from Alexandria via LeMat-Bulk describes crystalline Ba2TlP at its relaxed geometry. The functional is PBE.

Results
energy relative to the elements	-0.421	eV per atom
N(E_F)	4.583	states/eV per cell

The structure in CIF format:
```
data_Ba2TlP
_cell_length_a 9.130
_cell_length_b 9.130
_cell_length_c 7.817
_cell_angle_alpha 90.00
_cell_angle_beta 90.00
_cell_angle_gamma 90.00
_space_group_name_H-M_alt 'I -4 2 d'
_space_group_IT_number 122
_space_group_name_Hall 'I -4 2bw'
loop_
_atom_site_label
_atom_site_fract_x
_atom_site_fract_y
_atom_site_fract_z
Ba1 0.196 0.250 0.125
Tl1 0.000 0.000 0.500
P1 0.000 0.000 0.000
```